{
  "formula": "Zr2CdRh",
  "functional": "PBE",
  "state": "relaxed",
  "lattice": [[-4.383, -3.278, 1.897], [-2.270, -5.322, 0.270], [0.893, -2.329, 4.087]],
  "species": ["Rh", "Cd", "Zr", "Zr"],
  "fractional_positions": [[0.742, 0.742, 0.758], [0.474, 0.474, 0.526], [0.254, 0.254, 0.246], [0.030, 0.030, 0.970]],
  "crystal_system": "orthorhombic",
  "space_group": "Imm2, No. 44",
  "vol_a3_per_fu": 80,
  "formation_enthalpy_0k_ev_per_atom": -0.30,
  "energy_ev_per_atom": -6.64
}